1.
BaCuReOs after structural relaxation, computed with GGA-PBE.

Lattice parameters (Å, degrees): 4.6659 4.6659 4.6659 60.00 60.00 60.00
With the nearest neighbours (Å) after each atom.
Fractional positions:
Ba (0.2500, 0.2500, 0.2500)  4 Re 2.86, 4 Os 2.86
Cu (0.7500, 0.7500, 0.7500)  4 Os 2.86, 4 Re 2.86
Re (0.5000, 0.5000, 0.5000)  4 Ba 2.86, 4 Cu 2.86
Os (0.0000, 0.0000, 0.0000)  4 Cu 2.86, 4 Ba 2.86

Output
* E above lowest polymorph: 0.492 eV/atom
* final energy: -22.22 eV/cell
* theoretical density: 13.35 g/cm3

---

2.
InFeCuTe2Se after structural relaxation, computed with GGA-PBE.

Lattice parameters (Å, degrees): 7.5631 7.5631 9.7294 90.00 90.00 150.52
With the nearest neighbours (Å) after each atom.
Fractional positions:
Te (0.6318, 0.3682, 0.9561)  1 Cu 2.56, 2 Fe 2.76
Te (0.3682, 0.6318, 0.0439)  1 Cu 2.56, 2 Fe 2.76
Te (0.6318, 0.3682, 0.5439)  1 Cu 2.56, 2 Fe 2.76
Te (0.3682, 0.6318, 0.4561)  1 Cu 2.56, 2 Fe 2.76
Fe (0.0000, 0.0000, 0.5000)  2 Se 2.66, 4 Te 2.76
Fe (0.0000, 0.0000, 0.0000)  2 Se 2.66, 4 Te 2.76
Se (0.0736, 0.9264, 0.2500)  2 Cu 2.38, 2 Fe 2.66
Se (0.9264, 0.0736, 0.7500)  2 Cu 2.38, 2 Fe 2.66
Cu (0.4773, 0.5226, 0.2500)  2 Se 2.38, 2 Te 2.56
Cu (0.5226, 0.4773, 0.7500)  2 Se 2.38, 2 Te 2.56
In (0.7506, 0.2494, 0.2500)  2 Se 3.23, 6 Te 3.27-3.35
In (0.2494, 0.7506, 0.7500)  2 Se 3.23, 6 Te 3.27-3.35

Output
* final energy: -49.64 eV/cell
* theoretical density: 6.89 g/cm3

---

3.
Er2AlCoSi after structural relaxation, computed with GGA-PBE.

Lattice parameters (Å, degrees): 5.4806 5.4806 5.4806 136.99 77.09 119.49
With the nearest neighbours (Å) after each atom.
Fractional positions:
Er (0.2915, 0.4950, 0.7965)  3 Co 2.90-3.00, 3 Si 2.93-2.97, 3 Al 3.20-3.24
Er (0.6985, 0.4950, 0.2035)  3 Co 2.90-3.00, 3 Si 2.93-2.97, 3 Al 3.20-3.24
Si (0.7157, 0.2157, 0.5000)  1 Co 2.38, 2 Al 2.58
Co (0.2843, 0.7843, 0.5000)  1 Si 2.38, 2 Al 2.52
Al (0.0100, 0.0100, 0.0000)  2 Co 2.52, 2 Si 2.58

Output
* final energy: -28.14 eV/cell
* theoretical density: 7.83 g/cm3

---

4.
TaCuGePd after structural relaxation, computed with GGA-PBE.

Lattice parameters (Å, degrees): 4.4359 4.4359 4.4359 60.00 60.00 60.00
With the nearest neighbours (Å) after each atom.
Fractional positions:
Cu (0.7500, 0.7500, 0.7500)  4 Ge 2.72, 4 Pd 2.72
Ge (0.0000, 0.0000, 0.0000)  4 Ta 2.72, 4 Cu 2.72
Pd (0.5000, 0.5000, 0.5000)  4 Ta 2.72, 4 Cu 2.72
Ta (0.2500, 0.2500, 0.2500)  4 Pd 2.72, 4 Ge 2.72

Output
* E above lowest polymorph: 0.000 eV/atom
* final energy: -25.63 eV/cell
* theoretical density: 11.40 g/cm3